[1]
Computed, not measured: crystalline Si2OsAu at its relaxed geometry at the PBE level of DFT.

a b c (Å): 6.1863 6.1863 6.1863
angles (deg): 90.00 90.00 90.00
With the nearest neighbours (Å) after each atom.
Space group Fm-3m (No. 225)
One atom of each set of equivalent atoms:
Si (0.2500, 0.2500, 0.2500) (multiplicity 8)  4 Os 2.68, 4 Au 2.68
Os (0.0000, 0.0000, 0.0000) (multiplicity 4)  8 Si 2.68
Au (0.0000, 0.0000, 0.5000) (multiplicity 4)  8 Si 2.68

Results
- energy above the most stable polymorph in this dataset (meV per atom) = 437
- spin magnetization (μB/f.u.) = 0.0
- crystal system = cubic


[2]
Computed, not measured: crystalline Si2OsAu at its relaxed geometry at the PBE level of DFT.

a b c (Å): 2.9840 2.9840 23.5494
angles (deg): 90.00 90.00 120.00
With the nearest neighbours (Å) after each atom.
Space group R-3m (No. 166, hexagonal axes)
One atom of each set of equivalent atoms:
Si (0.0000, 0.0000, 0.2427) (multiplicity 6)  3 Os 2.48, 3 Au 2.74
Os (0.0000, 0.0000, 0.5000) (multiplicity 3)  6 Si 2.48
Au (0.0000, 0.0000, 0.0000) (multiplicity 3)  6 Si 2.74, 6 Au 2.98

Results
- energy above the most stable polymorph in this dataset (meV per atom) = 72
- spin magnetization (μB/f.u.) = 0.0
- crystal system = trigonal


[3]
Computed, not measured: crystalline Si2OsAu at its relaxed geometry at the PBE level of DFT.

a b c (Å): 3.4223 3.4223 5.1033
angles (deg): 90.00 90.00 90.00
With the nearest neighbours (Å) after each atom.
Space group P4mm (No. 99)
One atom of each set of equivalent atoms:
Si (0.0000, 0.0000, 0.0000) (multiplicity 1)  2 Au 2.50-2.61, 4 Os 2.55
Si (0.5000, 0.5000, 0.3146) (multiplicity 1)  2 Os 2.41-2.69, 4 Au 2.58
Os (0.5000, 0.5000, 0.8423) (multiplicity 1)  6 Si 2.41-2.69
Au (0.0000, 0.0000, 0.4895) (multiplicity 1)  6 Si 2.50-2.61

Results
- energy above the most stable polymorph in this dataset (meV per atom) = 90
- spin magnetization (μB/f.u.) = 0.6
- crystal system = tetragonal


[4]
Computed, not measured: crystalline SiOs2Au at its relaxed geometry at the PBE level of DFT.

a b c (Å): 2.9470 2.9470 6.7271
angles (deg): 90.00 90.00 90.00
With the nearest neighbours (Å) after each atom.
Space group P4/mmm (No. 123)
One atom of each set of equivalent atoms:
Si (0.0000, 0.0000, 0.0000) (multiplicity 1)  8 Os 2.49
Os (0.5000, 0.5000, 0.2034) (multiplicity 2)  4 Si 2.49, 1 Os 2.74
Au (0.0000, 0.0000, 0.5000) (multiplicity 1)  8 Os 2.88, 4 Au 2.95

Results
- energy above the most stable polymorph in this dataset (meV per atom) = 13
- spin magnetization (μB/f.u.) = 0.0
- crystal system = tetragonal


What did the fourth record say?
Computed, not measured: crystalline SiOs2Au at its relaxed geometry at the PBE level of DFT.

a b c (Å): 2.9470 2.9470 6.7271
angles (deg): 90.00 90.00 90.00
With the nearest neighbours (Å) after each atom.
Space group P4/mmm (No. 123)
One atom of each set of equivalent atoms:
Si (0.0000, 0.0000, 0.0000) (multiplicity 1)  8 Os 2.49
Os (0.5000, 0.5000, 0.2034) (multiplicity 2)  4 Si 2.49, 1 Os 2.74
Au (0.0000, 0.0000, 0.5000) (multiplicity 1)  8 Os 2.88, 4 Au 2.95

Results
- energy above the most stable polymorph in this dataset (meV per atom) = 13
- spin magnetization (μB/f.u.) = 0.0
- crystal system = tetragonal


Q: The highest energy above the most stable polymorph in this dataset belongs to which entry?
A: number 1


Q: energy above the most stable polymorph in this dataset of number 4 (SiOs2Au)?
A: 13 meV per atom


Q: Among the records above, which one has the highest spin magnetization?
A: number 3